(1)
Here is a relaxed structure of BaAc2Zr from Alexandria via LeMat-Bulk. Energies are from PBE.

Cell: 3.705 3.705 13.672 Å, 82.21 82.21 60.00°
Sites, in units of the cell vectors:
Ac 0.079 0.079 0.764
Ac 0.921 0.921 0.236
Ba 0.500 0.500 0.500
Zr 0.000 0.000 0.000

Output
energy of formation from the pure elements: 0.57 eV/atom
VASP energy: -16.4 eV for the cell shown
total moment: 0.00 μB/cell


(2)
Here is a relaxed structure of Ac5Be from Alexandria via LeMat-Bulk. Energies are from PBE.

Cell: 5.337 5.313 8.610 Å, 107.97 90.00 90.00°
Sites, in units of the cell vectors:
Be 0.000 0.000 0.000
Ac 0.500 0.841 0.683
Ac 0.000 0.660 0.319
Ac 0.500 0.500 0.000
Ac 0.000 0.340 0.681
Ac 0.500 0.159 0.317

Output
energy of formation from the pure elements: 0.31 eV/atom
VASP energy: -22.4 eV for the cell shown
total moment: 0.00 μB/cell


(3)
Here is a relaxed structure of AcBe4 from Alexandria via LeMat-Bulk. Energies are from PBE.

Cell: 5.537 5.537 5.537 Å, 90.00 90.00 90.00°
Sites, in units of the cell vectors:
Be 0.000 0.000 0.000
Be 0.500 0.000 0.500
Be 0.000 0.500 0.500
Be 0.500 0.500 0.000
Ac 0.500 0.500 0.500

Output
energy of formation from the pure elements: 2.50 eV/atom
VASP energy: -6.5 eV for the cell shown
total moment: 0.00 μB/cell


(4)
Here is a relaxed structure of Ac4Be from Alexandria via LeMat-Bulk. Energies are from PBE.

Cell: 5.905 5.905 5.905 Å, 90.00 90.00 90.00°
Sites, in units of the cell vectors:
Be 0.500 0.500 0.500
Ac 0.000 0.000 0.000
Ac 0.500 0.000 0.500
Ac 0.000 0.500 0.500
Ac 0.500 0.500 0.000

Output
energy of formation from the pure elements: 0.28 eV/atom
VASP energy: -18.7 eV for the cell shown
total moment: 0.00 μB/cell